No. 1
Below is a PBEsol-optimized structure of Cd2ReW, with properties calculated at the meta-GGA SCAN level.

Cell and atoms, written as POSCAR:
```
Cd2ReW
1.0
-1.6140 2.3932 4.5374
1.6140 -2.3932 4.5374
1.6140 2.3932 -4.5374
Cd Re W
2 1 1
Cartesian
0.0000 0.0000 0.0000
0.0000 2.3932 2.1476
1.6140 0.0000 2.4094
0.0000 0.0000 4.2495
```

Output
formation energy from the elements = 642 meV/atom
total magnetic moment = 0.0 μB per formula unit
density = 14.1 g/cm³
excess energy over the best structure of this formula in the dataset = 0 kJ/mol of formula units



No. 2
Below is a PBEsol-optimized structure of CrInRh2, with properties calculated at the meta-GGA SCAN level.

Cell and atoms, written as POSCAR:
```
CrInRh2
1.0
4.3605 -1.4237 0.0000
4.3605 1.4237 0.0000
-1.0229 0.0000 4.7462
Cr In Rh
1 1 2
Cartesian
0.0000 0.0000 0.0000
3.8490 0.0000 2.3731
1.4621 0.0000 3.6595
6.2359 0.0000 1.0867
```

Output
formation energy from the elements = -126 meV/atom
total magnetic moment = 3.1 μB per formula unit
density = 10.5 g/cm³



No. 3
Below is a PBEsol-optimized structure of MnBeZn2, with properties calculated at the meta-GGA SCAN level.

Cell and atoms, written as POSCAR:
```
MnBeZn2
1.0
2.6592 0.0000 0.0000
0.0000 2.6592 0.0000
0.0000 0.0000 6.5675
Mn Be Zn
1 1 2
Cartesian
0.0000 0.0000 0.0000
1.3296 1.3296 5.2123
0.0000 0.0000 3.7081
1.3296 1.3296 1.7891
```

Output
formation energy from the elements = -90 meV/atom
total magnetic moment = 2.7 μB per formula unit
density = 7.0 g/cm³



No. 4
Below is a PBEsol-optimized structure of RbMgB3, with properties calculated at the meta-GGA SCAN level.

Cell and atoms, written as POSCAR:
```
RbMgB3
1.0
4.6420 0.0000 0.0000
0.0000 4.6420 0.0000
0.0000 0.0000 4.6420
Rb Mg B
1 1 3
Cartesian
0.0000 0.0000 0.0000
2.3210 2.3210 2.3210
0.0000 0.0000 2.3210
0.0000 2.3210 0.0000
2.3210 0.0000 0.0000
```

Output
formation energy from the elements = 3233 meV/atom
total magnetic moment = 0.4 μB per formula unit
density = 2.4 g/cm³



No. 5
Below is a PBEsol-optimized structure of La2YZn, with properties calculated at the meta-GGA SCAN level.

Cell and atoms, written as POSCAR:
```
La2YZn
1.0
-1.8392 2.5779 5.9955
1.8392 -2.5779 5.9955
1.8392 2.5779 -5.9955
La Y Zn
2 1 1
Cartesian
0.0000 0.0000 2.5054
0.0000 0.0000 9.4856
0.0000 2.5779 0.0000
1.8392 0.0000 0.0000
```

Output
formation energy from the elements = -162 meV/atom
total magnetic moment = 0.0 μB per formula unit
density = 6.3 g/cm³
excess energy over the best structure of this formula in the dataset = 12 kJ/mol of formula units



No. 6
Below is a PBEsol-optimized structure of ZrMnO3, with properties calculated at the meta-GGA SCAN level.

Cell and atoms, written as POSCAR:
```
ZrMnO3
1.0
2.6860 1.5507 4.7897
-2.6860 1.5507 4.7897
0.0000 -3.1015 4.7897
Zr Mn O
2 2 6
Cartesian
0.0000 0.0000 0.0000
0.0000 0.0000 7.1846
0.0000 0.0000 3.1348
0.0000 0.0000 10.3194
-0.7356 -1.6523 6.2173
-1.6228 -0.0875 8.6122
-1.0631 1.4632 6.2173
0.8872 -1.3616 8.6122
1.7988 0.1891 6.2173
0.7356 1.4491 8.6122
```

Output
E_form (uncorrected) = -69.65 kcal/mol of atoms
total magnetic moment = 5.0 μB per formula unit
density = 5.4 g/cm³



No. 7
Below is a PBEsol-optimized structure of KPOsCl2, with properties calculated at the meta-GGA SCAN level.

Cell and atoms, written as POSCAR:
```
KPOsCl2
1.0
5.2544 0.0000 0.0000
0.0000 5.2544 0.0000
0.0000 0.0000 5.6814
K P Os Cl
1 1 1 2
Cartesian
0.0000 0.0000 0.0000
0.0000 0.0000 2.8407
2.6272 2.6272 2.8407
0.0000 2.6272 0.0000
2.6272 0.0000 0.0000
```

Output
E_form (uncorrected) = 35.56 kcal/mol of atoms
total magnetic moment = 6.1 μB per formula unit
density = 3.5 g/cm³



No. 8
Below is a PBEsol-optimized structure of YTl2Hg, with properties calculated at the meta-GGA SCAN level.

Cell and atoms, written as POSCAR:
```
YTl2Hg
1.0
2.6103 -2.8105 0.0000
2.6103 2.8105 0.0000
0.0000 0.0000 6.9010
Y Tl Hg
1 2 1
Cartesian
0.0000 0.0000 0.0000
2.6103 0.0000 1.8031
2.6103 0.0000 5.0978
0.0000 0.0000 3.4505
```

Output
formation energy from the elements = -222 meV/atom
total magnetic moment = 0.3 μB per formula unit
density = 11.5 g/cm³



No. 9
Below is a PBEsol-optimized structure of LiCd3Hg, with properties calculated at the meta-GGA SCAN level.

Cell and atoms, written as POSCAR:
```
LiCd3Hg
1.0
4.9043 0.0000 0.0000
0.0000 4.9043 0.0000
0.0000 0.0000 4.9043
Li Cd Hg
1 3 1
Cartesian
0.0000 0.0000 0.0000
0.0000 0.0000 2.4522
0.0000 2.4522 0.0000
2.4522 0.0000 0.0000
2.4522 2.4522 2.4522
```

Output
formation energy from the elements = 211 meV/atom
total magnetic moment = 0.0 μB per formula unit
density = 7.7 g/cm³



No. 10
Below is a PBEsol-optimized structure of Zn3TeIr, with properties calculated at the meta-GGA SCAN level.

Cell and atoms, written as POSCAR:
```
Zn3TeIr
1.0
4.9047 0.0000 0.0000
0.0000 4.9047 0.0000
0.0000 0.0000 4.9047
Zn Te Ir
3 1 1
Cartesian
0.0000 0.0000 2.4524
0.0000 2.4524 0.0000
2.4524 0.0000 0.0000
0.0000 0.0000 0.0000
2.4524 2.4524 2.4524
```

Output
E_form (uncorrected) = 35.28 kcal/mol of atoms
total magnetic moment = 0.0 μB per formula unit
density = 7.3 g/cm³



No. 11
Below is a PBEsol-optimized structure of Mg2HgP, with properties calculated at the meta-GGA SCAN level.

Cell and atoms, written as POSCAR:
```
Mg2HgP
1.0
-3.5799 3.5799 3.4671
3.5799 -3.5799 3.4671
3.5799 3.5799 -3.4671
Mg Hg P
4 2 2
Cartesian
5.3698 1.4996 -0.8668
1.4996 1.7899 0.8668
-1.7899 2.0803 2.6003
2.0803 1.7899 4.3339
3.5799 0.0000 1.7336
0.0000 0.0000 3.4671
0.0000 0.0000 0.0000
0.0000 3.5799 1.7336
```

Output
formation energy from the elements = -201 meV/atom
total magnetic moment = 0.0 μB per formula unit
density = 5.2 g/cm³



No. 12
Below is a PBEsol-optimized structure of CePr3, with properties calculated at the meta-GGA SCAN level.

Cell and atoms, written as POSCAR:
```
CePr3
1.0
5.0339 0.0000 0.0000
0.0000 5.0339 0.0000
0.0000 0.0000 5.0339
Ce Pr
1 3
Cartesian
0.0000 0.0000 0.0000
0.0000 2.5170 2.5170
2.5170 0.0000 2.5170
2.5170 2.5170 0.0000
```

Output
formation energy from the elements = 75 meV/atom
total magnetic moment = 1.6 μB per formula unit
density = 7.3 g/cm³